Entry 1:
NbZn2CdIr: single point on PBEsol structure, meta-GGA SCAN.

Output
Size of the total moment (μB per formula unit): 0.001
Calculated formation energy (meV per atom): 394.0
Space group: No. 123

abc: 4.7124 4.7124 4.8149
angles: 90.00 90.00 90.00
Closest atoms and distances in Å follow each position.
Element x y z (fractional)
Zn 0.5000 0.0000 0.0000  2 Ir 2.36
Zn 0.0000 0.5000 0.0000  2 Ir 2.36
Nb 0.0000 0.0000 0.5000  2 Ir 2.41
Ir 0.0000 0.0000 0.0000  4 Zn 2.36, 2 Nb 2.41
Cd 0.5000 0.5000 0.5000  4 Nb 3.33, 8 Zn 3.37

Entry 2:
Rb2LiCoF6: single point on PBEsol structure, meta-GGA SCAN.

Output
Size of the total moment (μB per formula unit): 0.140
Space group: No. 225
E_form (uncorrected) (eV per atom): -2.79

abc: 5.6865 5.6865 5.6865
angles: 60.00 60.00 60.00
Closest atoms and distances in Å follow each position.
Element x y z (fractional)
F 0.2685 0.2685 0.7315  1 Co 1.86
F 0.7315 0.7315 0.2685  1 Co 1.86
F 0.7315 0.2685 0.2685  1 Co 1.86
F 0.2685 0.7315 0.2685  1 Co 1.86
F 0.7315 0.2685 0.7315  1 Co 1.86
F 0.2685 0.7315 0.7315  1 Co 1.86
Rb 0.2500 0.2500 0.2500  12 F 2.85
Rb 0.7500 0.7500 0.7500  12 F 2.85
Li 0.0000 0.0000 0.0000  6 F 2.16
Co 0.5000 0.5000 0.5000  6 F 1.86

Entry 3:
ZnH4Br2O2: single point on PBEsol structure, meta-GGA SCAN.

Output
Size of the total moment (μB per formula unit): 0.000
Total energy (eV/cell): -263.566
Space group: No. 71

abc: 7.5348 8.2546 8.2546
angles: 74.60 62.84 62.84
Closest atoms and distances in Å follow each position.
Element x y z (fractional)
Br 0.2432 0.5000 0.5000  2 Zn 2.45
Br 0.7128 0.9763 0.5980  3 H 2.31-2.34, 1 Zn 2.40
Br 0.7568 0.5000 0.5000  2 Zn 2.45
Br 0.7128 0.5980 0.9763  3 H 2.31-2.34, 1 Zn 2.40
Br 0.2872 0.4020 0.0237  3 H 2.31-2.34, 1 Zn 2.40
Br 0.2872 0.0237 0.4020  3 H 2.31-2.34, 1 Zn 2.40
O 0.8084 0.8506 0.1494  2 H 0.99
O 0.1916 0.1494 0.8506  2 H 0.99
O 0.8084 0.1494 0.8506  2 H 0.99
O 0.1932 0.8068 0.8068  2 H 0.99
O 0.8068 0.1932 0.1932  2 H 0.99
O 0.1916 0.8506 0.1494  2 H 0.99
H 0.1980 0.2289 0.9174  1 O 0.99
H 0.2446 0.6737 0.8371  1 O 0.99
H 0.7554 0.1629 0.3263  1 O 0.99
H 0.3442 0.0826 0.7711  1 O 0.99
H 0.8020 0.7711 0.0826  1 O 0.99
H 0.6558 0.2289 0.9174  1 O 0.99
H 0.8020 0.0826 0.7711  1 O 0.99
H 0.6558 0.9174 0.2289  1 O 0.99
H 0.3442 0.7711 0.0826  1 O 0.99
H 0.2446 0.8371 0.6737  1 O 0.99
H 0.1980 0.9174 0.2289  1 O 0.99
H 0.7554 0.3263 0.1629  1 O 0.99
Zn 0.0000 0.0000 0.0000  6 O 2.08
Zn 0.1506 0.3494 0.3494  4 Br 2.40-2.45
Zn 0.8494 0.6506 0.6506  4 Br 2.40-2.45